No. 1
The following is a PBE calculation of a relaxed CsTaTe3 crystal, from Alexandria.

Calculated values
- symmetry = Pm-3m
- calculated density (Mg/m³) = 5.0
- ΔE to the lowest computed polymorph (meV per atom) = 2619.1
- magnetization (μB per formula unit) = 2.11
- electronic total energy (eV per cell) = -12.056

Cell lengths 6.141, 6.141, 6.141 Å; angles 90.00, 90.00, 90.00 degrees
Element x y z (fractional)
Cs1 0.000 0.000 0.000
Ta1 0.500 0.500 0.500
Te1 0.000 0.000 0.500
Te2 0.000 0.500 0.000
Te3 0.500 0.000 0.000

No. 2
The following is a PBE calculation of a relaxed CsTaTe3 crystal, from Alexandria.

Calculated values
- symmetry = Pm-3m
- calculated density (Mg/m³) = 6.7
- ΔE to the lowest computed polymorph (meV per atom) = 229.4
- magnetization (μB per formula unit) = 0.00
- electronic total energy (eV per cell) = -24.004

Cell lengths 5.568, 5.568, 5.568 Å; angles 90.00, 90.00, 90.00 degrees
Element x y z (fractional)
Cs1 0.000 0.000 0.000
Ta1 0.500 0.500 0.500
Te1 0.000 0.500 0.500
Te2 0.500 0.000 0.500
Te3 0.500 0.500 0.000

No. 3
The following is a PBE calculation of a relaxed CsTaTe2 crystal, from Alexandria.

Calculated values
- symmetry = Fm-3m
- calculated density (Mg/m³) = 8.1
- magnetization (μB per formula unit) = 2.00
- electronic total energy (eV per cell) = -17.345

Cell lengths 5.475, 5.475, 5.475 Å; angles 60.00, 60.00, 60.00 degrees
Element x y z (fractional)
Cs1 0.000 0.000 0.000
Ta1 0.500 0.500 0.500
Te1 0.250 0.250 0.250
Te2 0.750 0.750 0.750